# 1
The following is a PBE calculation of an optimized crystal structure of K2ThAgS4, from the Alexandria database.

Computed properties:
The total magnetization comes out at 0.010 μB per formula unit. For the uncorrected formation energy, the calculation gives -1.15 eV/atom. The calculation puts the uncorrected energy at -4.769 eV/atom.

a b c (Å): 8.219 8.219 8.491
angles (deg): 117.05 117.05 89.80
Fractional coordinates of all 16 atoms:
K  0.000  0.000  0.000
K  0.000  0.000  0.500
K  0.000  0.500  0.000
K  0.500  0.000  0.500
Th  0.500  0.500  0.000
Th  0.500  0.500  0.500
Ag  0.000  0.500  0.500
Ag  0.500  0.000  0.000
S  0.224  0.693  0.476
S  0.272  0.308  0.560
S  0.307  0.776  0.024
S  0.308  0.272  0.060
S  0.692  0.728  0.940
S  0.693  0.224  0.976
S  0.728  0.692  0.440
S  0.776  0.307  0.524



# 2
The following is a PBE calculation of an optimized crystal structure of Tm2Nb2Ni15, from the Alexandria database.

Computed properties:
The total magnetization comes out at 0.012 μB per formula unit. Its energy relative to the elements is -0.257 eV per atom. The calculation puts the uncorrected energy at -6.352 eV/atom.

a b c (Å): 6.353 6.353 6.353
angles (deg): 82.17 82.17 82.17
Fractional coordinates of all 19 atoms:
Tm  0.150  0.150  0.150
Tm  0.850  0.850  0.850
Nb  0.398  0.398  0.398
Nb  0.602  0.602  0.602
Ni  0.000  0.500  0.500
Ni  0.154  0.154  0.660
Ni  0.154  0.660  0.154
Ni  0.196  0.500  0.804
Ni  0.196  0.804  0.500
Ni  0.340  0.846  0.846
Ni  0.500  0.000  0.500
Ni  0.500  0.196  0.804
Ni  0.500  0.500  0.000
Ni  0.500  0.804  0.196
Ni  0.660  0.154  0.154
Ni  0.804  0.196  0.500
Ni  0.804  0.500  0.196
Ni  0.846  0.340  0.846
Ni  0.846  0.846  0.340



# 3
The following is a PBE calculation of an optimized crystal structure of AcNdPtSe, from the Alexandria database.

Computed properties:
The total magnetization comes out at 0.000 μB per formula unit. For the uncorrected formation energy, the calculation gives -1.47 eV/atom. The calculation puts the uncorrected energy at -6.073 eV/atom.

a b c (Å): 7.914 7.914 7.914
angles (deg): 31.26 31.26 31.26
Fractional coordinates of all 4 atoms:
Ac  0.000  0.000  0.000
Nd  0.486  0.486  0.486
Pt  0.746  0.746  0.746
Se  0.237  0.237  0.237



# 4
The following is a PBE calculation of an optimized crystal structure of ReTeCl3, from the Alexandria database.

Computed properties:
The total magnetization comes out at 5.811 μB per formula unit. As for the excess energy over the best structure of this formula in the dataset: 532 meV/atom. For the uncorrected formation energy, the calculation gives 1.02 eV/atom. The calculation puts the uncorrected energy at -3.205 eV/atom.

a b c (Å): 5.476 5.476 5.476
angles (deg): 90.00 90.00 90.00
Fractional coordinates of all 5 atoms:
Re  0.000  0.000  0.000
Te  0.500  0.500  0.500
Cl  0.000  0.500  0.500
Cl  0.500  0.000  0.500
Cl  0.500  0.500  0.000



# 5
The following is a PBE calculation of an optimized crystal structure of Bi3AsS6, from the Alexandria database.

Computed properties:
The total magnetization comes out at 0.000 μB per formula unit. As for the excess energy over the best structure of this formula in the dataset: 22 meV/atom. For the uncorrected formation energy, the calculation gives -0.23 eV/atom. The calculation puts the uncorrected energy at -4.337 eV/atom.

a b c (Å): 8.814 8.814 7.005
angles (deg): 90.00 90.00 102.81
Fractional coordinates of all 20 atoms:
Bi  0.106  0.894  0.500
Bi  0.195  0.421  0.514
Bi  0.421  0.195  0.014
Bi  0.579  0.805  0.514
Bi  0.805  0.579  0.014
Bi  0.894  0.106  0.000
As  0.331  0.669  0.091
As  0.669  0.331  0.591
S  0.089  0.602  0.231
S  0.145  0.191  0.236
S  0.191  0.145  0.736
S  0.272  0.728  0.700
S  0.398  0.911  0.231
S  0.470  0.530  0.313
S  0.530  0.470  0.813
S  0.602  0.089  0.731
S  0.728  0.272  0.200
S  0.809  0.855  0.236
S  0.855  0.809  0.736
S  0.911  0.398  0.731



# 6
The following is a PBE calculation of an optimized crystal structure of YNpCo, from the Alexandria database.

Computed properties:
The total magnetization comes out at 1.946 μB per formula unit. Its energy relative to the elements is 0.097 eV per atom. The calculation puts the uncorrected energy at -8.740 eV/atom.

a b c (Å): 5.571 5.571 6.799
angles (deg): 126.54 126.54 50.09
Fractional coordinates of all 6 atoms:
Y  0.085  0.085  0.354
Y  0.915  0.915  0.646
Np  0.374  0.374  0.983
Np  0.626  0.626  0.017
Co  0.344  0.344  0.287
Co  0.656  0.656  0.713



# 7
The following is a PBE calculation of an optimized crystal structure of Ac6N5, from the Alexandria database.

Computed properties:
The total magnetization comes out at 0.935 μB per formula unit. For the uncorrected formation energy, the calculation gives -0.98 eV/atom. The calculation puts the uncorrected energy at -7.002 eV/atom.

a b c (Å): 6.792 6.792 6.779
angles (deg): 99.86 99.86 119.90
Fractional coordinates of all 11 atoms:
Ac  0.069  0.418  0.747
Ac  0.233  0.233  0.262
Ac  0.418  0.069  0.747
Ac  0.582  0.931  0.253
Ac  0.767  0.767  0.738
Ac  0.931  0.582  0.253
N  0.000  0.000  0.500
N  0.162  0.838  0.000
N  0.321  0.679  0.500
N  0.679  0.321  0.500
N  0.838  0.162  0.000



# 8
The following is a PBE calculation of an optimized crystal structure of K2TaBiS4, from the Alexandria database.

Computed properties:
The total magnetization comes out at 0.000 μB per formula unit. For the uncorrected formation energy, the calculation gives -0.88 eV/atom. The calculation puts the uncorrected energy at -5.181 eV/atom.

a b c (Å): 6.865 6.865 6.865
angles (deg): 108.73 108.73 110.96
Fractional coordinates of all 8 atoms:
K  0.000  0.000  0.000
K  0.750  0.250  0.500
Ta  0.250  0.750  0.500
Bi  0.500  0.500  0.000
S  0.266  0.733  0.833
S  0.267  0.100  0.533
S  0.567  0.734  0.467
S  0.900  0.433  0.167



# 9
The following is a PBE calculation of an optimized crystal structure of La12PrHg6, from the Alexandria database.

Computed properties:
The total magnetization comes out at 0.000 μB per formula unit. Its energy relative to the elements is -0.234 eV per atom. The calculation puts the uncorrected energy at -3.693 eV/atom.

a b c (Å): 8.436 8.436 8.436
angles (deg): 88.60 88.60 88.60
Fractional coordinates of all 19 atoms:
La  0.081  0.141  0.401
La  0.141  0.401  0.081
La  0.183  0.466  0.580
La  0.401  0.081  0.141
La  0.420  0.817  0.534
La  0.466  0.580  0.183
La  0.534  0.420  0.817
La  0.580  0.183  0.466
La  0.599  0.919  0.859
La  0.817  0.534  0.420
La  0.859  0.599  0.919
La  0.919  0.859  0.599
Pr  0.000  0.000  0.000
Hg  0.124  0.755  0.274
Hg  0.245  0.726  0.876
Hg  0.274  0.124  0.755
Hg  0.726  0.876  0.245
Hg  0.755  0.274  0.124
Hg  0.876  0.245  0.726



# 10
The following is a PBE calculation of an optimized crystal structure of LaPr3Rh, from the Alexandria database.

Computed properties:
The total magnetization comes out at 0.000 μB per formula unit. As for the excess energy over the best structure of this formula in the dataset: 0 meV/atom. Its energy relative to the elements is -0.251 eV per atom. The calculation puts the uncorrected energy at -5.575 eV/atom.

a b c (Å): 7.643 7.643 5.987
angles (deg): 99.37 99.37 76.48
Fractional coordinates of all 10 atoms:
La  0.106  0.106  0.297
La  0.894  0.894  0.703
Pr  0.115  0.615  0.230
Pr  0.385  0.885  0.770
Pr  0.399  0.399  0.711
Pr  0.601  0.601  0.289
Pr  0.615  0.115  0.230
Pr  0.885  0.385  0.770
Rh  0.249  0.249  0.008
Rh  0.751  0.751  0.992



# 11
The following is a PBE calculation of an optimized crystal structure of Ga2AgHg, from the Alexandria database.

Computed properties:
The total magnetization comes out at 0.000 μB per formula unit. Its energy relative to the elements is 0.091 eV per atom. The calculation puts the uncorrected energy at -2.210 eV/atom.

a b c (Å): 4.571 4.571 3.879
angles (deg): 90.00 90.00 90.00
Fractional coordinates of all 4 atoms:
Ga  0.000  0.500  0.000
Ga  0.500  0.000  0.000
Ag  0.000  0.000  0.500
Hg  0.500  0.500  0.500



# 12
The following is a PBE calculation of an optimized crystal structure of PmHfTe3, from the Alexandria database.

Computed properties:
The total magnetization comes out at 0.000 μB per formula unit. For the uncorrected formation energy, the calculation gives -1.03 eV/atom. The calculation puts the uncorrected energy at -5.855 eV/atom.

a b c (Å): 9.103 4.143 15.296
angles (deg): 90.00 90.00 90.00
Fractional coordinates of all 20 atoms:
Pm  0.089  0.250  0.167
Pm  0.411  0.750  0.667
Pm  0.589  0.250  0.333
Pm  0.911  0.750  0.833
Hf  0.135  0.750  0.459
Hf  0.365  0.250  0.959
Hf  0.635  0.750  0.041
Hf  0.865  0.250  0.541
Te  0.032  0.750  0.631
Te  0.153  0.750  0.007
Te  0.199  0.250  0.795
Te  0.301  0.750  0.295
Te  0.347  0.250  0.507
Te  0.468  0.250  0.131
Te  0.532  0.750  0.869
Te  0.653  0.750  0.493
Te  0.699  0.250  0.705
Te  0.801  0.750  0.205
Te  0.847  0.250  0.993
Te  0.968  0.250  0.369



# 13
The following is a PBE calculation of an optimized crystal structure of Ti7FeIr2, from the Alexandria database.

Computed properties:
The total magnetization comes out at 0.000 μB per formula unit. Its energy relative to the elements is 0.559 eV per atom. The calculation puts the uncorrected energy at -7.586 eV/atom.

a b c (Å): 6.226 6.226 6.226
angles (deg): 60.00 60.00 60.00
Fractional coordinates of all 10 atoms:
Ti  0.000  0.000  0.000
Ti  0.255  0.255  0.745
Ti  0.255  0.745  0.255
Ti  0.255  0.745  0.745
Ti  0.745  0.255  0.255
Ti  0.745  0.255  0.745
Ti  0.745  0.745  0.255
Fe  0.500  0.500  0.500
Ir  0.250  0.250  0.250
Ir  0.750  0.750  0.750



# 14
The following is a PBE calculation of an optimized crystal structure of Ac6InHg5, from the Alexandria database.

Computed properties:
The total magnetization comes out at 1.582 μB per formula unit. Its energy relative to the elements is -0.460 eV per atom. The calculation puts the uncorrected energy at -2.869 eV/atom.

a b c (Å): 9.937 9.937 9.937
angles (deg): 146.47 131.79 60.00
Fractional coordinates of all 12 atoms:
Ac  0.082  0.333  0.749
Ac  0.248  0.000  0.248
Ac  0.416  0.667  0.749
Ac  0.584  0.333  0.251
Ac  0.752  0.000  0.752
Ac  0.918  0.667  0.251
In  0.500  0.500  0.000
Hg  0.000  0.500  0.500
Hg  0.167  0.167  0.000
Hg  0.335  0.835  0.500
Hg  0.665  0.165  0.500
Hg  0.833  0.833  0.000



# 15
The following is a PBE calculation of an optimized crystal structure of TbPaOsAu, from the Alexandria database.

Computed properties:
The total magnetization comes out at 0.000 μB per formula unit. Its energy relative to the elements is -0.290 eV per atom. The calculation puts the uncorrected energy at -7.448 eV/atom.

a b c (Å): 4.979 4.979 4.979
angles (deg): 60.00 60.00 60.00
Fractional coordinates of all 4 atoms:
Tb  0.000  0.000  0.000
Pa  0.500  0.500  0.500
Os  0.750  0.750  0.750
Au  0.250  0.250  0.250



# 16
The following is a PBE calculation of an optimized crystal structure of LaDyTlAg, from the Alexandria database.

Computed properties:
The total magnetization comes out at 0.177 μB per formula unit. As for the excess energy over the best structure of this formula in the dataset: 19 meV/atom. Its energy relative to the elements is -0.324 eV per atom. The calculation puts the uncorrected energy at -4.010 eV/atom.

a b c (Å): 5.413 5.413 5.413
angles (deg): 60.00 60.00 60.00
Fractional coordinates of all 4 atoms:
La  0.000  0.000  0.000
Dy  0.500  0.500  0.500
Tl  0.750  0.750  0.750
Ag  0.250  0.250  0.250



# 17
The following is a PBE calculation of an optimized crystal structure of Sb2TeAuI, from the Alexandria database.

Computed properties:
The total magnetization comes out at 0.000 μB per formula unit. As for the excess energy over the best structure of this formula in the dataset: 0 meV/atom. For the uncorrected formation energy, the calculation gives 0.51 eV/atom. The calculation puts the uncorrected energy at -2.734 eV/atom.

a b c (Å): 5.545 5.545 5.388
angles (deg): 90.00 90.00 90.00
Fractional coordinates of all 5 atoms:
Sb  0.000  0.500  0.000
Sb  0.500  0.000  0.000
Te  0.000  0.000  0.500
Au  0.000  0.000  0.000
I  0.500  0.500  0.500



# 18
The following is a PBE calculation of an optimized crystal structure of K2TlHg, from the Alexandria database.

Computed properties:
The total magnetization comes out at 0.000 μB per formula unit. As for the excess energy over the best structure of this formula in the dataset: 0 meV/atom. Its energy relative to the elements is -0.145 eV per atom. The calculation puts the uncorrected energy at -1.361 eV/atom.

a b c (Å): 4.851 5.185 7.031
angles (deg): 90.00 110.13 90.00
Fractional coordinates of all 4 atoms:
K  0.000  0.000  0.000
K  0.304  0.500  0.607
Tl  0.592  0.500  0.185
Hg  0.714  0.000  0.426



# 19
The following is a PBE calculation of an optimized crystal structure of Sc2ReB, from the Alexandria database.

Computed properties:
The total magnetization comes out at 0.000 μB per formula unit. Its energy relative to the elements is -0.161 eV per atom. The calculation puts the uncorrected energy at -8.108 eV/atom.

a b c (Å): 3.262 4.466 4.965
angles (deg): 70.08 87.36 83.90
Fractional coordinates of all 4 atoms:
Sc  0.000  0.000  0.000
Sc  0.442  0.315  0.393
Re  0.541  0.600  0.774
B  0.017  0.859  0.545



# 20
The following is a PBE calculation of an optimized crystal structure of AgTe2AsN, from the Alexandria database.

Computed properties:
The total magnetization comes out at 1.779 μB per formula unit. As for the excess energy over the best structure of this formula in the dataset: 398 meV/atom. For the uncorrected formation energy, the calculation gives 1.17 eV/atom. The calculation puts the uncorrected energy at -3.248 eV/atom.

a b c (Å): 5.552 5.552 3.952
angles (deg): 90.00 90.00 90.00
Fractional coordinates of all 5 atoms:
Ag  0.000  0.000  0.000
Te  0.000  0.500  0.000
Te  0.500  0.000  0.000
As  0.500  0.500  0.500
N  0.000  0.000  0.500